# LuZn2, optimized geometry, DFT PBE
data_LuZn2
_cell_length_a 3.4788
_cell_length_b 13.4517
_cell_length_c 4.8657
_cell_angle_alpha 90.00
_cell_angle_beta 90.00
_cell_angle_gamma 90.00
_space_group_name_H-M_alt 'C m c m'
_space_group_IT_number 63
_space_group_name_Hall '-C 2c 2'
loop_
_atom_site_label
_atom_site_type_symbol
_atom_site_fract_x
_atom_site_fract_y
_atom_site_fract_z
Lu1 Lu 0.0000 0.1009 0.2500
Zn1 Zn 0.0000 0.2249 0.7500
Zn2 Zn 0.0000 0.4265 0.2500
# Formation energy from the elements, meV per atom: -235
# Spin magnetization, μB/f.u.: 0.00

---

# LiTcO4, optimized geometry, DFT PBE
data_LiTcO4
_cell_length_a 5.5283
_cell_length_b 9.7473
_cell_length_c 11.1153
_cell_angle_alpha 113.63
_cell_angle_beta 103.76
_cell_angle_gamma 94.39
_space_group_name_H-M_alt 'P 1'
_space_group_IT_number 1
_space_group_name_Hall 'P 1'
loop_
_atom_site_label
_atom_site_type_symbol
_atom_site_fract_x
_atom_site_fract_y
_atom_site_fract_z
Li1 Li 0.0000 0.0000 0.0000
Li2 Li 0.0198 0.2601 0.2556
Li3 Li 0.1293 0.7025 0.9765
Li4 Li 0.2171 0.9910 0.2733
Li5 Li 0.4990 0.4873 0.9962
Li6 Li 0.5668 0.7782 0.3002
Li7 Li 0.6953 0.4800 0.2764
Li8 Li 0.7460 0.9875 0.7308
Tc1 Tc 0.0958 0.6078 0.2279
Tc2 Tc 0.0987 0.8786 0.5223
Tc3 Tc 0.2973 0.8841 0.7712
Tc4 Tc 0.3866 0.5910 0.5070
Tc5 Tc 0.5973 0.5979 0.7430
Tc6 Tc 0.6057 0.8716 0.0460
Tc7 Tc 0.8314 0.1364 0.4805
Tc8 Tc 0.8818 0.3456 0.7883
O1 O 0.0639 0.9672 0.8336
O2 O 0.0788 0.2569 0.6783
O3 O 0.0990 0.4833 0.3500
O4 O 0.1051 0.0252 0.4432
O5 O 0.1124 0.7171 0.5931
O6 O 0.1180 0.2268 0.0772
O7 O 0.1328 0.4853 0.9227
O8 O 0.1355 0.7590 0.1801
O9 O 0.3028 0.4698 0.5982
O10 O 0.3237 0.2487 0.0494
O11 O 0.3269 0.9393 0.0734
O12 O 0.3377 0.7311 0.8448
O13 O 0.3531 0.7452 0.4260
O14 O 0.3727 0.5387 0.1976
O15 O 0.3826 0.2233 0.2633
O16 O 0.3970 0.9923 0.6715
O17 O 0.5476 0.2483 0.2068
O18 O 0.5669 0.7207 0.0936
O19 O 0.5789 0.9942 0.3476
O20 O 0.5957 0.9874 0.9167
O21 O 0.6013 0.7629 0.6803
O22 O 0.6054 0.4470 0.8243
O23 O 0.6258 0.5211 0.4447
O24 O 0.6328 0.2307 0.5878
O25 O 0.8037 0.2121 0.8438
O26 O 0.8054 0.7573 0.9275
O27 O 0.8238 0.4712 0.1136
O28 O 0.8398 0.9690 0.5713
O29 O 0.8627 0.5225 0.7000
O30 O 0.8769 0.0137 0.1605
O31 O 0.8879 0.7189 0.3457
O32 O 0.9213 0.2543 0.4121
# Energy, eV per atom: -6.700
# Spin magnetization, μB/f.u.: 0.37

---

# HfCoHgBi, optimized geometry, DFT PBE
data_HfCoHgBi
_cell_length_a 6.8384
_cell_length_b 6.8384
_cell_length_c 6.8384
_cell_angle_alpha 90.00
_cell_angle_beta 90.00
_cell_angle_gamma 90.00
_space_group_name_H-M_alt 'F -4 3 m'
_space_group_IT_number 216
_space_group_name_Hall 'F -4 2 3'
loop_
_atom_site_label
_atom_site_type_symbol
_atom_site_fract_x
_atom_site_fract_y
_atom_site_fract_z
Hf1 Hf 0.0000 0.0000 0.0000
Co1 Co 0.0000 0.0000 0.5000
Hg1 Hg 0.2500 0.2500 0.7500
Bi1 Bi 0.2500 0.2500 0.2500
# Energy, eV per atom: -4.991
# Spin magnetization, μB/f.u.: 0.06

---

# NaSmO3, optimized geometry, DFT PBE
data_NaSmO3
_cell_length_a 4.3282
_cell_length_b 4.3282
_cell_length_c 4.5997
_cell_angle_alpha 90.00
_cell_angle_beta 90.00
_cell_angle_gamma 90.00
_space_group_name_H-M_alt 'P 4 m m'
_space_group_IT_number 99
_space_group_name_Hall 'P 4 -2'
loop_
_atom_site_label
_atom_site_type_symbol
_atom_site_fract_x
_atom_site_fract_y
_atom_site_fract_z
Na1 Na 0.0000 0.0000 0.0000
Sm1 Sm 0.5000 0.5000 0.6396
O1 O 0.0000 0.5000 0.7664
O2 O 0.5000 0.5000 0.1427
# Energy, eV per atom: -5.853
# Spin magnetization, μB/f.u.: 2.00

---

# Nd2YS3, optimized geometry, DFT PBE
data_Nd2YS3
_cell_length_a 4.0011
_cell_length_b 4.0011
_cell_length_c 9.8955
_cell_angle_alpha 90.00
_cell_angle_beta 90.00
_cell_angle_gamma 120.00
_space_group_name_H-M_alt 'P -3 m 1'
_space_group_IT_number 164
_space_group_name_Hall '-P 3 2"'
loop_
_atom_site_label
_atom_site_type_symbol
_atom_site_fract_x
_atom_site_fract_y
_atom_site_fract_z
Nd1 Nd 0.3333 0.6667 0.1693
Y1 Y 0.0000 0.0000 0.5000
S1 S 0.0000 0.0000 0.0000
S2 S 0.3333 0.6667 0.6554
# Energy, eV per atom: -6.748
# Spin magnetization, μB/f.u.: 0.01

---

# Na2Sc2NiSn2Pt, optimized geometry, DFT PBE
data_Na2Sc2NiSn2Pt
_cell_length_a 4.6875
_cell_length_b 4.6875
_cell_length_c 6.6518
_cell_angle_alpha 90.00
_cell_angle_beta 90.00
_cell_angle_gamma 90.00
_space_group_name_H-M_alt 'P -4 m 2'
_space_group_IT_number 115
_space_group_name_Hall 'P -4 -2'
loop_
_atom_site_label
_atom_site_type_symbol
_atom_site_fract_x
_atom_site_fract_y
_atom_site_fract_z
Na1 Na 0.0000 0.0000 0.0000
Na2 Na 0.5000 0.5000 0.5000
Sc1 Sc 0.0000 0.5000 0.7467
Ni1 Ni 0.0000 0.0000 0.5000
Sn1 Sn 0.0000 0.5000 0.2586
Pt1 Pt 0.5000 0.5000 0.0000
# Energy, eV per atom: -4.817
# Spin magnetization, μB/f.u.: 0.00